No. 1
Ba3GaBi: optimized geometry, GGA-PBE.

Summary:
Total magnetization: 0.0 μB per cell
Distance to the lowest polymorph of the same formula: 0.272 eV per atom

abc: 6.234 6.234 6.234
angles: 90.00 90.00 90.00
Fractional positions:
Ba: 0.500 0.000 0.000
Ba: 0.000 0.000 0.500
Ba: 0.000 0.500 0.000
Ga: 0.000 0.000 0.000
Bi: 0.500 0.500 0.500


No. 2
Ba4Ga2Bi: optimized geometry, GGA-PBE.

Summary:
Energy: -2.98 eV/atom
Total magnetization: 0.2 μB per cell

abc: 4.489 8.428 8.478
angles: 88.44 74.66 90.03
Fractional positions:
Ga: 0.787 0.474 0.426
Ga: 0.213 0.526 0.574
Ba: 0.349 0.188 0.301
Ba: 0.593 0.295 0.816
Ba: 0.407 0.705 0.184
Ba: 0.651 0.812 0.699
Bi: 0.000 0.000 0.000


No. 3
Ba4GaBi8: optimized geometry, GGA-PBE.

Summary:
Energy: -3.79 eV/atom
Total magnetization: 0.0 μB per cell

abc: 4.800 5.199 19.235
angles: 90.00 90.00 90.00
Fractional positions:
Bi: 0.000 0.500 0.235
Bi: 0.500 0.000 0.236
Bi: 0.500 0.500 0.041
Bi: 0.500 0.000 0.586
Bi: 0.000 0.000 0.472
Bi: 0.000 0.000 0.744
Bi: 0.000 0.500 0.930
Bi: 0.500 0.500 0.757
Ga: 0.000 0.000 0.321
Ba: 0.000 0.000 0.089
Ba: 0.500 0.500 0.391
Ba: 0.500 0.000 0.893
Ba: 0.000 0.500 0.610


No. 4
BaGaBi4: optimized geometry, GGA-PBE.

Summary:
Total magnetization: 0.0 μB per cell
Distance to the lowest polymorph of the same formula: 0.000 eV per atom

abc: 6.687 6.687 6.687
angles: 60.00 60.00 60.00
Fractional positions:
Bi: 0.119 0.627 0.627
Bi: 0.627 0.627 0.627
Bi: 0.627 0.119 0.627
Bi: 0.627 0.627 0.119
Ba: 0.250 0.250 0.250
Ga: 0.000 0.000 0.000


No. 5
Ba2GaBi4: optimized geometry, GGA-PBE.

Summary:
Energy: -3.68 eV/atom
Total magnetization: 0.0 μB per cell

abc: 6.885 6.885 7.294
angles: 118.17 118.17 89.99
Fractional positions:
Ba: 0.786 0.286 0.571
Ba: 0.286 0.786 0.571
Bi: 0.286 0.286 0.071
Bi: 0.786 0.786 0.072
Bi: 0.286 0.786 0.071
Bi: 0.786 0.286 0.071
Ga: 0.786 0.786 0.572


No. 6
BaGaBi3: optimized geometry, GGA-PBE.

Summary:
Total magnetization: 0.0 μB per cell
Distance to the lowest polymorph of the same formula: 0.193 eV per atom

abc: 5.640 5.640 5.640
angles: 90.00 90.00 90.00
Fractional positions:
Ga: 0.000 0.000 0.000
Bi: 0.500 0.000 0.000
Bi: 0.000 0.000 0.500
Bi: 0.000 0.500 0.000
Ba: 0.500 0.500 0.500


No. 7
Ba2Ga3Bi2: optimized geometry, GGA-PBE.

Summary:
Energy: -3.47 eV/atom
Total magnetization: 0.0 μB per cell

abc: 4.657 7.075 7.367
angles: 91.01 90.00 109.22
Fractional positions:
Ba: 0.856 0.712 0.282
Ba: 0.144 0.288 0.718
Ga: 0.546 0.092 0.349
Ga: 0.500 0.000 0.000
Ga: 0.454 0.908 0.651
Bi: 0.853 0.707 0.790
Bi: 0.147 0.293 0.210


No. 8
BaGaBi3: optimized geometry, GGA-PBE.

Summary:
Total magnetization: 0.0 μB per cell
Distance to the lowest polymorph of the same formula: 0.000 eV per atom

abc: 7.043 7.138 6.967
angles: 89.90 90.00 90.01
Fractional positions:
Bi: 0.477 0.874 0.952
Bi: 0.833 0.069 0.700
Bi: 0.477 0.874 0.449
Bi: 0.977 0.479 0.950
Bi: 0.333 0.284 0.201
Bi: 0.978 0.479 0.453
Ba: 0.960 0.951 0.200
Ba: 0.460 0.401 0.701
Ga: 0.130 0.790 0.701
Ga: 0.630 0.563 0.201


Which value of total magnetization does entry 1 give?
0.0 μB per cell


Repeat the third record exactly.
Ba4GaBi8: optimized geometry, GGA-PBE.

Summary:
Energy: -3.79 eV/atom
Total magnetization: 0.0 μB per cell

abc: 4.800 5.199 19.235
angles: 90.00 90.00 90.00
Fractional positions:
Bi: 0.000 0.500 0.235
Bi: 0.500 0.000 0.236
Bi: 0.500 0.500 0.041
Bi: 0.500 0.000 0.586
Bi: 0.000 0.000 0.472
Bi: 0.000 0.000 0.744
Bi: 0.000 0.500 0.930
Bi: 0.500 0.500 0.757
Ga: 0.000 0.000 0.321
Ba: 0.000 0.000 0.089
Ba: 0.500 0.500 0.391
Ba: 0.500 0.000 0.893
Ba: 0.000 0.500 0.610